First-principles (PBE) data for a relaxed CsAsCl2 crystal, as listed in the Alexandria database.

a b c (Å): 6.5657 6.5657 6.5657
angles (deg): 43.51 43.51 43.51
Last column: nearest neighbours and their distance in Å.
Fractional coordinates of all 4 atoms:
Cs: 0.0000 0.0000 0.0000  8 Cl 3.57-3.73
As: 0.5000 0.5000 0.5000  6 Cl 2.91
Cl: 0.2096 0.2096 0.2096  3 As 2.91, 3 Cl 3.20
Cl: 0.7904 0.7904 0.7904  3 As 2.91, 3 Cl 3.20

Properties
**DOS at the Fermi energy**: 0.0 states/eV/cell
**SG**: No. 166
**E_tot**: -11.6 eV per cell

---

First-principles (PBE) data for a relaxed LaBeH5 crystal, as listed in the Alexandria database.

a b c (Å): 4.4399 4.4399 4.4399
angles (deg): 115.60 86.89 128.47
Last column: nearest neighbours and their distance in Å.
Fractional coordinates of all 7 atoms:
La: 0.0000 0.0000 0.0000  14 H 2.38-2.53
Be: 0.4505 0.9505 0.5000  5 H 1.50-1.54
H: 0.0631 0.5631 0.5000  1 Be 1.50
H: 0.3453 0.2425 0.5767  1 Be 1.54
H: 0.3453 0.7686 0.1028  1 Be 1.54
H: 0.6658 0.2425 0.8972  1 Be 1.54
H: 0.6658 0.7686 0.4233  1 Be 1.54

Properties
**DOS at the Fermi energy**: 0.6 states/eV/cell
**SG**: No. 44
**E_tot**: -28.1 eV per cell

---

First-principles (PBE) data for a relaxed GdHoCo2 crystal, as listed in the Alexandria database.

a b c (Å): 4.7337 4.7337 4.7337
angles (deg): 60.00 60.00 60.00
Last column: nearest neighbours and their distance in Å.
Fractional coordinates of all 4 atoms:
Gd: 0.0000 0.0000 0.0000  8 Co 2.90
Ho: 0.5000 0.5000 0.5000  8 Co 2.90
Co: 0.2500 0.2500 0.2500  4 Gd 2.90, 4 Ho 2.90
Co: 0.7500 0.7500 0.7500  4 Gd 2.90, 4 Ho 2.90

Properties
**DOS at the Fermi energy**: 0.9 states/eV/cell
**Energy of formation**: -0.56 eV/f.u.
**SG**: No. 225

---

Question: Which formula does entry 1 have?
Answer: CsAsCl2

---

Question: Which of these has the lowest DOS at the Fermi energy?
Answer: CsAsCl2

---

Question: What is the DOS at the Fermi energy in the third record?
Answer: 0.9 states/eV/cell

---

Question: Look up the DOS at the Fermi energy of the third one.
Answer: 0.9 states/eV/cell